Here is a relaxed SrPmAlCu crystal from Alexandria. Energies are from PBE.

Calculated values
The density of states at the Fermi level comes out at 0.92 states/eV per atom. As for the crystal system: cubic. The total magnetization is 0.0 μB/f.u. The value obtained for the total energy is -14.584 eV/f.u.

a b c (Å): 7.4980 7.4980 7.4980
angles (deg): 90.00 90.00 90.00
Space group F-43m (No. 216)
Asymmetric unit:
Sr1 0.0000 0.0000 0.0000 [4 per cell]
Pm1 0.0000 0.0000 0.5000 [4 per cell]
Al1 0.2500 0.2500 0.7500 [4 per cell]
Cu1 0.2500 0.2500 0.2500 [4 per cell]